No. 1
DFT (PBEsol) results for crystalline Sc3Ni20B6 at its relaxed geometry.

Computed properties:
Spin magnetization in Bohr magnetons per cell: 0.000
Formation energy in eV/atom: -0.484
Crystal system: cubic
Space group: Fm-3m, No. 225
Raw total energy in Ha/atom: -0.252
Theoretical density in g cm⁻³: 7.87

abc: 7.428 7.428 7.428
angles: 60.00 60.00 60.00
Fractional positions:
Sc 0.000 0.000 0.000
Sc 0.250 0.250 0.250
Sc 0.750 0.750 0.750
Ni 0.000 0.000 0.343
Ni 0.000 0.000 0.657
Ni 0.000 0.343 0.000
Ni 0.000 0.343 0.657
Ni 0.000 0.657 0.000
Ni 0.000 0.657 0.343
Ni 0.157 0.614 0.614
Ni 0.343 0.000 0.000
Ni 0.343 0.000 0.657
Ni 0.343 0.657 0.000
Ni 0.386 0.386 0.386
Ni 0.386 0.386 0.843
Ni 0.386 0.843 0.386
Ni 0.614 0.157 0.614
Ni 0.614 0.614 0.157
Ni 0.614 0.614 0.614
Ni 0.657 0.000 0.000
Ni 0.657 0.000 0.343
Ni 0.657 0.343 0.000
Ni 0.843 0.386 0.386
B 0.268 0.268 0.732
B 0.268 0.732 0.268
B 0.268 0.732 0.732
B 0.732 0.268 0.268
B 0.732 0.268 0.732
B 0.732 0.732 0.268

***

No. 2
DFT (PBEsol) results for crystalline Ni21Sn2B6 at its relaxed geometry.

Computed properties:
Spin magnetization in Bohr magnetons per cell: 0.003
Formation energy in eV/atom: -0.330
Crystal system: cubic
Space group: Fm-3m, No. 225
Raw total energy in Ha/atom: -0.240
Theoretical density in g cm⁻³: 8.92

abc: 7.392 7.392 7.392
angles: 60.00 60.00 60.00
Fractional positions:
Ni 0.000 0.000 0.000
Ni 0.000 0.000 0.337
Ni 0.000 0.000 0.663
Ni 0.000 0.337 0.000
Ni 0.000 0.337 0.663
Ni 0.000 0.663 0.000
Ni 0.000 0.663 0.337
Ni 0.156 0.615 0.615
Ni 0.337 0.000 0.000
Ni 0.337 0.000 0.663
Ni 0.337 0.663 0.000
Ni 0.385 0.385 0.385
Ni 0.385 0.385 0.844
Ni 0.385 0.844 0.385
Ni 0.615 0.156 0.615
Ni 0.615 0.615 0.156
Ni 0.615 0.615 0.615
Ni 0.663 0.000 0.000
Ni 0.663 0.000 0.337
Ni 0.663 0.337 0.000
Ni 0.844 0.385 0.385
Sn 0.250 0.250 0.250
Sn 0.750 0.750 0.750
B 0.272 0.272 0.728
B 0.272 0.728 0.272
B 0.272 0.728 0.728
B 0.728 0.272 0.272
B 0.728 0.272 0.728
B 0.728 0.728 0.272

***

No. 3
DFT (PBEsol) results for crystalline SrNi12B6 at its relaxed geometry.

Computed properties:
Spin magnetization in Bohr magnetons per cell: 0.000
Formation energy in eV/atom: -0.395
Crystal system: trigonal
Space group: R-3m, No. 166
Raw total energy in Ha/atom: -0.242
Theoretical density in g cm⁻³: 7.49

abc: 5.988 5.988 5.988
angles: 104.46 104.46 104.46
Fractional positions:
Sr 0.000 0.000 0.000
Ni 0.132 0.500 0.868
Ni 0.132 0.868 0.500
Ni 0.187 0.459 0.459
Ni 0.459 0.187 0.459
Ni 0.459 0.459 0.187
Ni 0.500 0.132 0.868
Ni 0.500 0.868 0.132
Ni 0.541 0.541 0.813
Ni 0.541 0.813 0.541
Ni 0.813 0.541 0.541
Ni 0.868 0.132 0.500
Ni 0.868 0.500 0.132
B 0.235 0.235 0.662
B 0.235 0.662 0.235
B 0.338 0.765 0.765
B 0.662 0.235 0.235
B 0.765 0.338 0.765
B 0.765 0.765 0.338

***

> The lowest raw total energy belongs to which entry?

Sc3Ni20B6

***

> Number 2 is which compound?

Ni21Sn2B6

***

> Number 2 is which compound?

Ni21Sn2B6